Ca2ScCu: relaxed, GGA-PBE.

Cell lengths 3.4828, 3.4847, 9.6705 Å; angles 68.89, 90.00, 90.00 degrees
Closest atoms and distances in Å follow each position.
Fractional coordinates of all 4 atoms:
Ca 0.0000 0.9522 0.0480  4 Cu 3.06
Cu 0.5000 0.2500 0.2500  8 Ca 3.06
Ca 0.0000 0.5478 0.4520  4 Cu 3.06
Sc 0.5000 0.7500 0.7500  4 Sc 3.48, 8 Ca 3.65

Calculated values
VASP energy   -14.0 eV/cell
Calculated volume   27.373 A^3/atom
D(E_F)   5.8 states/eV/f.u.
Formation enthalpy at 0 K   0.112 eV/atom